# 1
The following is a DFT calculation (GGA-PBE) of a relaxed ZrCd2Pd3 crystal.

Unit cell a=7.460 b=7.460 c=6.492 alpha=90.00 beta=90.00 gamma=143.18
Atoms (fractional coordinates):
Zr 0.160 0.840 0.000
Zr 0.840 0.160 0.000
Cd 0.170 0.830 0.500
Cd 0.500 0.500 0.000
Cd 0.500 0.500 0.500
Cd 0.830 0.170 0.500
Pd 0.000 0.000 0.260
Pd 0.000 0.000 0.740
Pd 0.328 0.672 0.237
Pd 0.328 0.672 0.763
Pd 0.672 0.328 0.237
Pd 0.672 0.328 0.763

Properties
E above lowest polymorph: 0.0000 eV per atom
Energy relative to the elements: -3.18 eV per formula unit
Symmetry: Cmmm, No. 65



# 2
The following is a DFT calculation (GGA-PBE) of a relaxed Rb2LaAlTe4 crystal.

Unit cell a=9.476 b=9.476 c=9.015 alpha=118.38 beta=118.38 gamma=90.64
Atoms (fractional coordinates):
Rb 0.000 0.000 0.000
Rb 0.000 0.000 0.500
Rb 0.000 0.500 0.000
Rb 0.500 0.000 0.500
La 0.000 0.500 0.500
La 0.500 0.000 0.000
Al 0.500 0.500 0.000
Al 0.500 0.500 0.500
Te 0.277 0.723 0.520
Te 0.277 0.723 0.980
Te 0.299 0.315 0.556
Te 0.315 0.299 0.056
Te 0.685 0.701 0.944
Te 0.701 0.685 0.444
Te 0.723 0.277 0.020
Te 0.723 0.277 0.480

Properties
Energy relative to the elements, uncorrected: -0.947 eV per atom
Symmetry: C2/c, No. 15



# 3
The following is a DFT calculation (GGA-PBE) of a relaxed TaIn6Cl12 crystal.

Unit cell a=8.707 b=8.707 c=8.707 alpha=98.34 beta=98.34 gamma=98.34
Atoms (fractional coordinates):
Ta 0.000 0.000 0.000
In 0.165 0.632 0.336
In 0.336 0.165 0.632
In 0.368 0.664 0.835
In 0.632 0.336 0.165
In 0.664 0.835 0.368
In 0.835 0.368 0.664
Cl 0.009 0.726 0.944
Cl 0.056 0.991 0.274
Cl 0.182 0.429 0.564
Cl 0.274 0.056 0.991
Cl 0.429 0.564 0.182
Cl 0.436 0.818 0.571
Cl 0.564 0.182 0.429
Cl 0.571 0.436 0.818
Cl 0.726 0.944 0.009
Cl 0.818 0.571 0.436
Cl 0.944 0.009 0.726
Cl 0.991 0.274 0.056

Properties
Energy relative to the elements, uncorrected: -0.966 eV per atom
Symmetry: R-3, No. 148



# 4
The following is a DFT calculation (GGA-PBE) of a relaxed Ba3LiF6 crystal.

Unit cell a=8.595 b=8.595 c=5.921 alpha=90.00 beta=90.00 gamma=102.41
Atoms (fractional coordinates):
Ba 0.114 0.886 0.500
Ba 0.190 0.420 0.474
Ba 0.420 0.190 0.974
Ba 0.580 0.810 0.474
Ba 0.810 0.580 0.974
Ba 0.886 0.114 0.000
Li 0.306 0.694 0.927
Li 0.694 0.306 0.427
F 0.097 0.633 0.774
F 0.141 0.156 0.729
F 0.156 0.141 0.229
F 0.289 0.711 0.263
F 0.367 0.903 0.774
F 0.425 0.575 0.736
F 0.575 0.425 0.236
F 0.633 0.097 0.274
F 0.711 0.289 0.763
F 0.844 0.859 0.729
F 0.859 0.844 0.229
F 0.903 0.367 0.274

Properties
Energy relative to the elements, uncorrected: -3.350 eV per atom
Symmetry: Cmc2_1, No. 36



# 5
The following is a DFT calculation (GGA-PBE) of a relaxed Sc2SeO2 crystal.

Unit cell a=6.571 b=5.850 c=5.699 alpha=69.35 beta=56.41 gamma=54.25
Atoms (fractional coordinates):
Sc 0.064 0.686 0.064
Sc 0.314 0.936 0.314
Sc 0.686 0.064 0.686
Sc 0.936 0.314 0.936
Se 0.375 0.375 0.375
Se 0.625 0.625 0.625
O 0.010 0.010 0.740
O 0.260 0.260 0.990
O 0.740 0.740 0.010
O 0.990 0.990 0.260

Properties
Energy relative to the elements, uncorrected: -2.889 eV per atom
Symmetry: Fddd, No. 70



# 6
The following is a DFT calculation (GGA-PBE) of a relaxed HfBIrRu2 crystal.

Unit cell a=4.138 b=4.138 c=4.102 alpha=90.00 beta=90.00 gamma=90.00
Atoms (fractional coordinates):
Hf 0.000 0.000 0.000
B 0.500 0.500 0.500
Ir 0.500 0.500 0.000
Ru 0.000 0.500 0.500
Ru 0.500 0.000 0.500

Properties
Energy relative to the elements: -3.09 eV per formula unit
Symmetry: P4/mmm, No. 123



# 7
The following is a DFT calculation (GGA-PBE) of a relaxed Tm3Th2Ni2 crystal.

Unit cell a=6.261 b=6.261 c=8.939 alpha=113.82 beta=113.82 gamma=33.20
Atoms (fractional coordinates):
Tm 0.000 0.000 0.000
Tm 0.116 0.116 0.432
Tm 0.884 0.884 0.568
Th 0.330 0.330 0.183
Th 0.670 0.670 0.817
Ni 0.331 0.331 0.765
Ni 0.669 0.669 0.235

Properties
Energy relative to the elements: -1.95 eV per formula unit
Symmetry: C2/m, No. 12



# 8
The following is a DFT calculation (GGA-PBE) of a relaxed Ca2TcBr crystal.

Unit cell a=6.703 b=6.703 c=6.703 alpha=108.55 beta=108.55 gamma=111.34
Atoms (fractional coordinates):
Ca 0.125 0.625 0.000
Ca 0.375 0.375 0.500
Ca 0.625 0.125 0.000
Ca 0.875 0.875 0.500
Tc 0.000 0.000 0.000
Tc 0.750 0.250 0.500
Br 0.250 0.750 0.500
Br 0.500 0.500 0.000

Properties
E above lowest polymorph: 0.4878 eV per atom
Energy relative to the elements, uncorrected: 0.240 eV per atom
Symmetry: I-42d, No. 122



# 9
The following is a DFT calculation (GGA-PBE) of a relaxed TlAg crystal.

Unit cell a=4.655 b=4.655 c=4.655 alpha=60.00 beta=60.00 gamma=60.00
Atoms (fractional coordinates):
Tl 0.000 0.000 0.000
Ag 0.250 0.250 0.250

Properties
Energy relative to the elements: 0.89 eV per formula unit
Symmetry: F-43m, No. 216



# 10
The following is a DFT calculation (GGA-PBE) of a relaxed Li3Si4Pt7 crystal.

Unit cell a=7.725 b=7.725 c=8.925 alpha=122.55 beta=122.55 gamma=29.43
Atoms (fractional coordinates):
Li 0.000 0.000 0.000
Li 0.333 0.333 0.337
Li 0.667 0.667 0.663
Si 0.111 0.111 0.835
Si 0.333 0.333 0.728
Si 0.667 0.667 0.272
Si 0.889 0.889 0.165
Pt 0.000 0.000 0.500
Pt 0.167 0.167 0.426
Pt 0.302 0.302 0.954
Pt 0.492 0.492 0.724
Pt 0.508 0.508 0.276
Pt 0.698 0.698 0.046
Pt 0.833 0.833 0.574

Properties
Energy relative to the elements, uncorrected: -0.756 eV per atom
Symmetry: C2/m, No. 12



# 11
The following is a DFT calculation (GGA-PBE) of a relaxed NiCl crystal.

Unit cell a=6.470 b=6.470 c=6.470 alpha=90.00 beta=90.00 gamma=90.00
Atoms (fractional coordinates):
Ni 0.000 0.250 0.500
Ni 0.000 0.750 0.500
Ni 0.250 0.500 0.000
Ni 0.500 0.000 0.250
Ni 0.500 0.000 0.750
Ni 0.750 0.500 0.000
Cl 0.000 0.500 0.250
Cl 0.000 0.500 0.750
Cl 0.250 0.000 0.500
Cl 0.500 0.250 0.000
Cl 0.500 0.750 0.000
Cl 0.750 0.000 0.500

Properties
Energy relative to the elements, uncorrected: 0.014 eV per atom
Symmetry: Pm-3n, No. 223



# 12
The following is a DFT calculation (GGA-PBE) of a relaxed VAsI crystal.

Unit cell a=3.543 b=3.543 c=6.791 alpha=105.24 beta=105.24 gamma=59.99
Atoms (fractional coordinates):
V 0.000 0.000 0.000
As 0.259 0.259 0.778
I 0.430 0.430 0.289

Properties
E above lowest polymorph: 0.1377 eV per atom
Energy relative to the elements, uncorrected: -0.049 eV per atom
Symmetry: Cm, No. 8